DFT (meta-GGA SCAN) results for Mn2P2O7 at its PBEsol-relaxed geometry.

Unit cell a=4.541 b=10.245 c=5.378 alpha=90.00 beta=97.23 gamma=90.00
Fractional coordinates of all 22 atoms:
Mn (0.103, 0.153, 0.409)
Mn (0.103, 0.347, 0.909)
Mn (0.897, 0.653, 0.091)
Mn (0.897, 0.847, 0.591)
P (0.358, 0.611, 0.652)
P (0.358, 0.889, 0.152)
P (0.642, 0.111, 0.848)
P (0.642, 0.389, 0.348)
O (0.127, 0.680, 0.463)
O (0.127, 0.820, 0.963)
O (0.210, 0.543, 0.859)
O (0.210, 0.957, 0.359)
O (0.385, 0.199, 0.743)
O (0.385, 0.301, 0.243)
O (0.500, 0.000, 0.000)
O (0.500, 0.500, 0.500)
O (0.615, 0.699, 0.757)
O (0.615, 0.801, 0.257)
O (0.790, 0.043, 0.641)
O (0.790, 0.457, 0.141)
O (0.873, 0.180, 0.037)
O (0.873, 0.320, 0.537)

Results
- Space-group type: P2_1/c (14)
- Formation energy without anion corrections: -2575 kJ/mol of formula units
- DOS(E_F): 0.00 states/eV per atom

DFT (meta-GGA SCAN) results for UReC2 at its PBEsol-relaxed geometry.

Unit cell a=5.552 b=3.119 c=10.994 alpha=90.00 beta=90.00 gamma=90.00
Fractional coordinates of all 16 atoms:
U (0.083, 0.250, 0.141)
U (0.417, 0.750, 0.641)
U (0.583, 0.250, 0.359)
U (0.917, 0.750, 0.859)
Re (0.080, 0.750, 0.396)
Re (0.420, 0.250, 0.896)
Re (0.580, 0.750, 0.104)
Re (0.920, 0.250, 0.604)
C (0.164, 0.250, 0.755)
C (0.245, 0.250, 0.493)
C (0.255, 0.750, 0.993)
C (0.336, 0.750, 0.255)
C (0.664, 0.250, 0.745)
C (0.745, 0.250, 0.007)
C (0.755, 0.750, 0.507)
C (0.836, 0.750, 0.245)

Results
- Space-group type: Pnma (62)
- DOS(E_F): 0.92 states/eV per atom

DFT (meta-GGA SCAN) results for Lu3Ga5Ni at its PBEsol-relaxed geometry.

Unit cell a=6.672 b=6.672 c=4.103 alpha=90.00 beta=90.00 gamma=120.00
Fractional coordinates of all 9 atoms:
Lu (0.000, 0.593, 0.000)
Lu (0.407, 0.407, 0.000)
Lu (0.593, 0.000, 0.000)
Ga (0.000, 0.236, 0.500)
Ga (0.236, 0.000, 0.500)
Ga (0.333, 0.667, 0.500)
Ga (0.667, 0.333, 0.500)
Ga (0.764, 0.764, 0.500)
Ni (0.000, 0.000, 0.000)

Results
- Space-group type: P-62m (189)
- DOS(E_F): 0.22 states/eV per atom

Number 1: total energy -11.601 eV per atom. Number 2: total energy -48.799 eV per atom. Number 3: total energy -30.097 eV per atom.